Entry from the Alexandria database: an optimized crystal structure of La2PaCo2 (PBE).

Cell lengths 6.2496, 6.2496, 6.8614 Å; angles 81.65, 81.65, 62.17 degrees
Closest atoms and distances in Å follow each position.
Sites, in units of the cell vectors:
1 La 0.2415 0.4542 0.6457  4 Co 2.97-3.13
2 La 0.5458 0.7585 0.8543  4 Co 2.97-3.13
3 La 0.4542 0.2415 0.1457  4 Co 2.97-3.13
4 La 0.7585 0.5458 0.3543  4 Co 2.97-3.13
5 Co 0.2904 0.9870 0.4867  2 Pa 2.44-2.55, 1 Co 2.73
6 Co 0.0130 0.7096 0.0133  2 Pa 2.44-2.55, 1 Co 2.73
7 Co 0.9870 0.2904 0.9867  2 Pa 2.44-2.55, 1 Co 2.73
8 Co 0.7096 0.0130 0.5133  2 Pa 2.44-2.55, 1 Co 2.73
9 Pa 0.0657 0.9343 0.2500  4 Co 2.44-2.55
10 Pa 0.9343 0.0657 0.7500  4 Co 2.44-2.55

M_tot: 0.00 μB/cell
Formation energy: -0.256 eV/atom
ρ: 8.91 Mg/m³
N(E_F): 0.95 states/eV per atom